Entry from Alexandria: an optimized crystal structure of BaCrRh2F (PBE+U).

Structure (POSCAR):
```
BaCrRh2F
1.0
4.625 0.000 0.000
0.000 5.133 0.000
0.000 0.000 4.625
Cr Rh Ba F
1 2 1 1
Cartesian
0.000 0.000 0.000
0.000 0.000 2.313
2.313 0.000 0.000
2.313 2.566 2.313
0.000 2.566 0.000
```

Results
For the raw total energy, the calculation gives -5.331 eV/atom. As for the space-group type: P4/mmm. The value obtained for the total moment is 0.517 μB/atom. The value obtained for the density of states at the Fermi level is 2.838 states/eV/f.u.